This record from OQMD describes a geometry-optimized Li3Y2Ta3O12 structure. The functional is PBE.

The value obtained for the volume is 10.76 A^3/atom. For the total energy, the calculation gives -8.159 eV/atom.

It has space group Ia-3d (No. 230), with a = 11.9835 Å, b = 11.9835 Å, c = 11.9835 Å, α = 90.00°, β = 90.00° and γ = 90.00°. The distinct sites, in fractional coordinates, are Li at (0.0000, 0.2500, 0.3750), Y at (0.0000, 0.0000, 0.0000), Ta at (0.0000, 0.2500, 0.1250) and O at (0.0261, 0.0796, 0.6608).